Density functional theory data (PBE-GGA) for a relaxed BaNi3H crystal.

Unit cell a=4.100 b=4.100 c=4.100 alpha=90.00 beta=90.00 gamma=90.00
Space group Pm-3m (No. 221)
Symmetry-distinct sites (fractional):
Ba  0.000  0.000  0.000 x1
Ni  0.000  0.500  0.500 x3
H  0.500  0.500  0.500 x1

Calculated values
Spin magnetization ... 0.0 Bohr magnetons per cell
Uncorrected energy ... -20.45 eV/cell